# 1
## Ba2Mg2Sb (PBE)

Data for a geometry-optimized Ba2Mg2Sb structure.

Unit cell a=4.320 b=4.320 c=11.143 alpha=78.82 beta=78.82 gamma=90.00
Fractional coordinates of all 5 atoms:
Mg: 0.750 0.250 0.500
Ba: 0.413 0.413 0.174
Ba: 0.587 0.587 0.826
Mg: 0.250 0.750 0.500
Sb: 0.000 0.000 0.000

Summary:
Density, g/cm³: 3.69
Raw formation energy, eV/atom: -0.334
Crystal system: tetragonal
Total magnetization, μB per atom: 0.00
Total energy, eV/atom: -2.57

# 2
## In2OsAu (PBE)

Data for a geometry-optimized In2OsAu structure.

Unit cell a=4.736 b=3.212 c=4.865 alpha=90.00 beta=90.00 gamma=90.00
Fractional coordinates of all 4 atoms:
In: 0.000 0.125 0.906
Au: 0.500 0.625 0.834
In: 0.500 0.125 0.347
Os: 0.000 0.625 0.413

Summary:
Density, g/cm³: 13.84
Crystal system: orthorhombic
ΔE_f, eV/atom: 0.305
Total magnetization, μB per atom: 0.00
Total energy, eV/atom: -4.69

# 3
## Al2AgIr (PBE)

Data for a geometry-optimized Al2AgIr structure.

Unit cell a=8.724 b=8.724 c=8.724 alpha=19.18 beta=19.18 gamma=19.18
Fractional coordinates of all 4 atoms:
Ir: 0.250 0.250 0.250
Al: 0.993 0.993 0.993
Al: 0.507 0.507 0.507
Ag: 0.750 0.750 0.750

Summary:
Density, g/cm³: 9.38
Crystal system: trigonal
ΔE_f, eV/atom: -0.331
Total magnetization, μB per atom: 0.00
Total energy, eV/atom: -5.13

# 4
## Sm2Tl3 (PBE)

Data for a geometry-optimized Sm2Tl3 structure.

Unit cell a=9.348 b=9.348 c=9.348 alpha=109.47 beta=109.47 gamma=109.47
Fractional coordinates of all 20 atoms:
Sm: 0.500 0.576 0.500
Sm: 0.000 0.000 0.076
Tl: 0.487 0.737 0.250
Sm: 0.000 0.000 0.576
Sm: 0.076 0.500 0.000
Tl: 0.737 0.487 0.750
Sm: 0.924 0.424 0.424
Sm: 0.576 0.500 0.000
Tl: 0.513 0.250 0.263
Tl: 0.750 0.263 0.013
Tl: 0.250 0.513 0.763
Tl: 0.763 0.013 0.250
Tl: 0.237 0.250 0.987
Tl: 0.263 0.750 0.513
Tl: 0.750 0.987 0.737
Tl: 0.987 0.750 0.237
Sm: 0.500 0.076 0.500
Sm: 0.424 0.924 0.924
Tl: 0.013 0.763 0.750
Tl: 0.250 0.237 0.487

Summary:
Density, g/cm³: 9.65
Crystal system: cubic
ΔE_f, eV/atom: -0.132
Total magnetization, μB per atom: 0.00
Total energy, eV/atom: -3.44

# 5
## Cs2NdPdCl6 (PBE)

Data for a geometry-optimized Cs2NdPdCl6 structure.

Unit cell a=7.858 b=7.859 c=10.455 alpha=90.00 beta=90.00 gamma=90.00
Site moments in Bohr magnetons follow the coordinates.
Fractional coordinates of all 20 atoms:
Cl: 0.000 0.750 0.262  0.04
Nd: 0.500 0.250 0.500  0.02
Cl: 0.754 0.505 0.000  0.02
Cl: 0.500 0.250 0.762  0.04
Cs: 0.000 0.250 0.750  0.00
Cl: 0.254 0.004 0.500  0.02
Pd: 0.500 0.250 0.000  0.74
Cl: 0.500 0.250 0.238  0.04
Cl: 0.000 0.750 0.738  0.04
Cl: 0.246 0.505 0.000  0.02
Cs: 0.500 0.750 0.750  0.00
Pd: 0.000 0.750 0.500  0.74
Cs: 0.500 0.750 0.250  0.00
Cl: 0.246 0.996 0.000  0.02
Cl: 0.754 0.996 0.000  0.02
Cl: 0.254 0.495 0.500  0.02
Nd: 0.000 0.750 0.000  0.02
Cs: 0.000 0.250 0.250  0.00
Cl: 0.746 0.004 0.500  0.02
Cl: 0.746 0.495 0.500  0.02

Summary:
Density, g/cm³: 3.75
Raw formation energy, eV/atom: -1.708
Crystal system: orthorhombic
Total magnetization, μB per atom: 0.10
Total energy, eV/atom: -3.98

# 6
## Sr3In2Sn7 (PBE)

Data for a geometry-optimized Sr3In2Sn7 structure.

Unit cell a=6.443 b=6.443 c=11.036 alpha=73.03 beta=73.03 gamma=60.00
Fractional coordinates of all 12 atoms:
Sn: 0.412 0.923 0.254
Sr: 0.000 0.000 0.000
Sn: 0.588 0.588 0.746
Sr: 0.140 0.140 0.581
Sn: 0.077 0.588 0.746
In: 0.664 0.664 0.007
Sr: 0.860 0.860 0.419
Sn: 0.588 0.077 0.746
Sn: 0.500 0.500 0.500
Sn: 0.923 0.412 0.254
In: 0.336 0.336 0.993
Sn: 0.412 0.412 0.254

Summary:
Density, g/cm³: 5.88
Crystal system: trigonal
ΔE_f, eV/atom: -0.326
Total magnetization, μB per atom: 0.00
Total energy, eV/atom: -3.54

# 7
## CaNbPb3 (PBE)

Data for a geometry-optimized CaNbPb3 structure.

Unit cell a=5.535 b=5.535 c=5.535 alpha=90.00 beta=90.00 gamma=90.00
Fractional coordinates of all 5 atoms:
Pb: 0.000 0.500 0.000
Ca: 0.500 0.500 0.500
Nb: 0.000 0.000 0.000
Pb: 0.000 0.000 0.500
Pb: 0.500 0.000 0.000

Summary:
Density, g/cm³: 7.39
Crystal system: cubic
ΔE_f, eV/atom: 0.203
Total magnetization, μB per atom: 0.00
Total energy, eV/atom: -4.44

# 8
## SrTe2BrN (PBE)

Data for a geometry-optimized SrTe2BrN structure.

Unit cell a=6.525 b=6.525 c=5.003 alpha=90.00 beta=90.00 gamma=90.00
Site moments in Bohr magnetons follow the coordinates.
Fractional coordinates of all 5 atoms:
Te: 0.000 0.500 0.000  0.75
Sr: 0.000 0.000 0.000  -0.02
Br: 0.500 0.500 0.500  0.46
Te: 0.500 0.000 0.000  0.75
N: 0.000 0.000 0.500  -1.40

Summary:
Density, g/cm³: 3.40
Raw formation energy, eV/atom: 0.770
Crystal system: tetragonal
Total magnetization, μB per atom: 0.26
Total energy, eV/atom: -2.82